Entry 1:
This record from Alexandria describes a relaxed structure of Tb4BiRh. The functional is PBE.

Computed properties:
Crystal system: orthorhombic
ΔH_f (0 K), eV per formula unit: -3.71

a b c (Å): 8.3854 4.0209 19.6385
angles (deg): 90.00 90.00 90.00
With the nearest neighbours (Å) after each atom.
Positions (direct):
1 Tb 0.0268 0.2500 0.0669  2 Rh 2.93
2 Tb 0.0529 0.7500 0.2145  4 Bi 3.26-3.27, 4 Tb 3.53-3.61
3 Tb 0.1262 0.7500 0.6476  2 Rh 2.86
4 Tb 0.1464 0.7500 0.4504  3 Rh 2.91-3.08
5 Tb 0.3536 0.2500 0.9504  3 Rh 2.91-3.08
6 Tb 0.3738 0.2500 0.1476  2 Rh 2.86
7 Tb 0.4471 0.2500 0.7145  4 Bi 3.26-3.27, 4 Tb 3.53-3.61
8 Tb 0.4732 0.7500 0.5669  2 Rh 2.93
9 Tb 0.5268 0.2500 0.4331  2 Rh 2.93
10 Tb 0.5529 0.7500 0.2855  4 Bi 3.26-3.27, 4 Tb 3.53-3.61
11 Tb 0.6262 0.7500 0.8524  2 Rh 2.86
12 Tb 0.6464 0.7500 0.0496  3 Rh 2.91-3.08
13 Tb 0.8536 0.2500 0.5496  3 Rh 2.91-3.08
14 Tb 0.8738 0.2500 0.3524  2 Rh 2.86
15 Tb 0.9471 0.2500 0.7855  4 Bi 3.26-3.27, 4 Tb 3.53-3.61
16 Tb 0.9732 0.7500 0.9331  2 Rh 2.93
17 Bi 0.2477 0.7500 0.8135  9 Tb 3.26-3.47
18 Bi 0.2523 0.2500 0.3135  9 Tb 3.26-3.47
19 Bi 0.7477 0.7500 0.6865  9 Tb 3.26-3.47
20 Bi 0.7523 0.2500 0.1865  9 Tb 3.26-3.47
21 Rh 0.2211 0.2500 0.5526  7 Tb 2.86-3.08
22 Rh 0.2789 0.7500 0.0526  7 Tb 2.86-3.08
23 Rh 0.7211 0.2500 0.9474  7 Tb 2.86-3.08
24 Rh 0.7789 0.7500 0.4474  7 Tb 2.86-3.08


Entry 2:
This record from Alexandria describes a relaxed structure of NaSrTeBr. The functional is PBE.

Computed properties:
Crystal system: trigonal
Raw formation energy, eV/atom: -1.567

a b c (Å): 7.8095 7.8095 7.8095
angles (deg): 34.99 34.99 34.99
With the nearest neighbours (Å) after each atom.
Positions (direct):
1 Na 0.0000 0.0000 0.0000  3 Te 3.13, 3 Br 3.48
2 Sr 0.5145 0.5145 0.5145  3 Te 3.25, 3 Br 3.26
3 Te 0.2625 0.2625 0.2625  3 Na 3.13, 3 Sr 3.25
4 Br 0.7657 0.7657 0.7657  3 Sr 3.26, 3 Na 3.48


Entry 3:
This record from Alexandria describes a relaxed structure of PmP3. The functional is PBE.

Computed properties:
Crystal system: orthorhombic
ΔH_f (0 K), eV per formula unit: -1.93

a b c (Å): 4.2535 4.5145 4.1458
angles (deg): 90.00 90.00 90.00
With the nearest neighbours (Å) after each atom.
Positions (direct):
1 Pm 0.0000 0.0000 0.0000  12 P 2.97-3.32
2 P 0.0000 0.5000 0.5210  2 P 2.34
3 P 0.5000 0.0000 0.4986  2 P 2.43
4 P 0.5000 0.5000 0.2832  4 P 2.34-2.43


Entry 4:
This record from Alexandria describes a relaxed structure of MnCu2Pd2Au. The functional is PBE.

Computed properties:
Crystal system: orthorhombic
ΔH_f (0 K), eV per formula unit: -0.77

a b c (Å): 3.8195 8.2594 5.5716
angles (deg): 90.00 90.00 90.00
With the nearest neighbours (Å) after each atom.
Positions (direct):
1 Mn 0.0000 0.0074 0.0000  5 Pd 2.72-2.84, 4 Au 2.76-2.79, 2 Mn 2.79, 1 Cu 2.84
2 Mn 0.0000 0.9926 0.5000  5 Pd 2.72-2.84, 4 Au 2.76-2.79, 2 Mn 2.79, 1 Cu 2.84
3 Cu 0.0000 0.3367 0.4923  5 Pd 2.57-2.83, 4 Cu 2.69-2.76, 2 Au 2.72, 1 Mn 2.84
4 Cu 0.0000 0.6633 0.9923  5 Pd 2.57-2.83, 4 Cu 2.69-2.76, 2 Au 2.72, 1 Mn 2.84
5 Cu 0.5000 0.4961 0.2492  5 Pd 2.65-2.70, 6 Cu 2.69-2.79, 1 Au 2.72
6 Cu 0.5000 0.5039 0.7492  5 Pd 2.65-2.70, 6 Cu 2.69-2.79, 1 Au 2.72
7 Pd 0.0000 0.3516 0.9997  7 Cu 2.57-2.83, 2 Au 2.79, 2 Pd 2.81, 1 Mn 2.84
8 Pd 0.0000 0.6484 0.4997  7 Cu 2.57-2.83, 2 Au 2.79, 2 Pd 2.81, 1 Mn 2.84
9 Pd 0.5000 0.1692 0.2509  3 Cu 2.70-2.71, 4 Mn 2.72-2.77, 3 Au 2.75-2.84, 2 Pd 2.81
10 Pd 0.5000 0.8308 0.7509  3 Cu 2.70-2.71, 4 Mn 2.72-2.77, 3 Au 2.75-2.84, 2 Pd 2.81
11 Au 0.5000 0.1749 0.7443  3 Cu 2.72, 5 Pd 2.75-2.84, 4 Mn 2.76-2.79
12 Au 0.5000 0.8251 0.2443  3 Cu 2.72, 5 Pd 2.75-2.84, 4 Mn 2.76-2.79


Entry 5:
This record from Alexandria describes a relaxed structure of GaGe2Au6. The functional is PBE.

Computed properties:
Crystal system: monoclinic
ΔH_f (0 K), eV per formula unit: -0.11

a b c (Å): 6.8979 5.8148 9.8117
angles (deg): 90.00 117.67 90.00
With the nearest neighbours (Å) after each atom.
Positions (direct):
1 Ga 0.0000 0.0000 0.0000  4 Au 2.59-2.81
2 Ga 0.0000 0.5000 0.5000  4 Au 2.59-2.81
3 Ge 0.3237 0.1453 0.7602  6 Au 2.55-2.74
4 Ge 0.3237 0.3547 0.2602  6 Au 2.55-2.74
5 Ge 0.6763 0.6453 0.7398  6 Au 2.55-2.74
6 Ge 0.6763 0.8547 0.2398  6 Au 2.55-2.74
7 Au 0.0094 0.6759 0.2148  2 Ge 2.63-2.74, 1 Ga 2.81
8 Au 0.0094 0.8241 0.7148  2 Ge 2.63-2.74, 1 Ga 2.81
9 Au 0.2569 0.6554 0.0356  1 Ga 2.59, 2 Ge 2.68-2.89, 1 Au 2.89
10 Au 0.2569 0.8446 0.5356  1 Ga 2.59, 2 Ge 2.68-2.89, 1 Au 2.89
11 Au 0.4285 0.1917 0.0619  3 Ge 2.55-2.71
12 Au 0.4285 0.3083 0.5619  3 Ge 2.55-2.71
13 Au 0.5715 0.6917 0.4381  3 Ge 2.55-2.71
14 Au 0.5715 0.8083 0.9381  3 Ge 2.55-2.71
15 Au 0.7431 0.1554 0.4644  1 Ga 2.59, 2 Ge 2.68-2.89, 1 Au 2.89
16 Au 0.7431 0.3446 0.9644  1 Ga 2.59, 2 Ge 2.68-2.89, 1 Au 2.89
17 Au 0.9906 0.1759 0.2852  2 Ge 2.63-2.74, 1 Ga 2.81
18 Au 0.9906 0.3241 0.7852  2 Ge 2.63-2.74, 1 Ga 2.81


Entry 6:
This record from Alexandria describes a relaxed structure of LaGdPuSn. The functional is PBE.

Computed properties:
Crystal system: cubic
ΔH_f (0 K), eV per formula unit: -0.81

a b c (Å): 5.4720 5.4720 5.4720
angles (deg): 60.00 60.00 60.00
With the nearest neighbours (Å) after each atom.
Positions (direct):
1 La 0.0000 0.0000 0.0000  4 Sn 3.35, 4 Pu 3.35
2 Gd 0.5000 0.5000 0.5000  4 Sn 3.35, 4 Pu 3.35
3 Pu 0.2500 0.2500 0.2500  4 Gd 3.35, 4 La 3.35
4 Sn 0.7500 0.7500 0.7500  4 Gd 3.35, 4 La 3.35


Entry 7:
This record from Alexandria describes a relaxed structure of BeAs3Ru. The functional is PBE.

Computed properties:
Crystal system: cubic
ΔH_f (0 K), eV per formula unit: 4.51

a b c (Å): 4.7745 4.7745 4.7745
angles (deg): 90.00 90.00 90.00
With the nearest neighbours (Å) after each atom.
Positions (direct):
1 Be 0.0000 0.0000 0.0000  12 As 3.38
2 As 0.0000 0.5000 0.5000  2 Ru 2.39
3 As 0.5000 0.0000 0.5000  2 Ru 2.39
4 As 0.5000 0.5000 0.0000  2 Ru 2.39
5 Ru 0.5000 0.5000 0.5000  6 As 2.39


Entry 8:
This record from Alexandria describes a relaxed structure of ThZn2Ni9. The functional is PBE.

Computed properties:
Crystal system: hexagonal
ΔH_f (0 K), eV per formula unit: 0.26

a b c (Å): 8.0295 8.0295 2.7972
angles (deg): 90.00 90.00 120.00
With the nearest neighbours (Å) after each atom.
Positions (direct):
1 Th 0.0000 0.0000 0.0000  2 Th 2.80, 12 Ni 2.92
2 Zn 0.3333 0.6667 0.0000  9 Ni 2.32-2.50
3 Zn 0.6667 0.3333 0.0000  9 Ni 2.32-2.50
4 Ni 0.0000 0.5000 0.0000  2 Zn 2.32
5 Ni 0.1844 0.3688 0.5000  2 Zn 2.50, 8 Ni 2.56-2.80
6 Ni 0.1844 0.8156 0.5000  2 Zn 2.50, 8 Ni 2.56-2.80
7 Ni 0.3688 0.1844 0.5000  2 Zn 2.50, 8 Ni 2.56-2.80
8 Ni 0.5000 0.0000 0.0000  2 Zn 2.32
9 Ni 0.5000 0.5000 0.0000  2 Zn 2.32
10 Ni 0.6312 0.8156 0.5000  2 Zn 2.50, 8 Ni 2.56-2.80
11 Ni 0.8156 0.1844 0.5000  2 Zn 2.50, 8 Ni 2.56-2.80
12 Ni 0.8156 0.6312 0.5000  2 Zn 2.50, 8 Ni 2.56-2.80


The final energy results, record by record, are as follows: -5.58; -3.52; -5.73; -5.30; -3.56; -9.54; -4.49; -5.15 eV per atom.
The Fermi-level density of states results, record by record, are as follows: 26.08; 0.00; 0.96; 4.04; 6.36; 16.14; 4.46; 16.51 states/eV/cell.